Entry 1:
A plane-wave DFT calculation with PBEsol was carried out for a geometry-optimized MgZrTl2 structure.

It has space group I4/mmm (No. 139), with a = 4.441 Å, b = 4.441 Å, c = 8.999 Å, α = 90.00°, β = 90.00° and γ = 90.00°. The asymmetric unit holds Mg at (0.000, 0.000, 0.000), Zr at (0.000, 0.000, 0.500) and Tl at (0.000, 0.500, 0.250).

Its formation energy is -0.002 eV per atom. The value obtained for the uncorrected energy is -32.149 eV for the cell shown.



Entry 2:
A plane-wave DFT calculation with PBEsol was carried out for a geometry-optimized As2CSeS structure.

It has space group P4/mmm (No. 123), with a = 4.658 Å, b = 4.658 Å, c = 4.784 Å, α = 90.00°, β = 90.00° and γ = 90.00°. The asymmetric unit holds As at (0.000, 0.500, 0.000), C at (0.000, 0.000, 0.500), Se at (0.500, 0.500, 0.500) and S at (0.500, 0.500, 0.000).

The uncorrected formation energy is 2000.7 meV/atom. The value obtained for the uncorrected energy is -18.087 eV for the cell shown.



Entry 3:
A plane-wave DFT calculation with PBEsol was carried out for a geometry-optimized LiSb2Pb2 structure.

It has space group I4/mmm (No. 139), with a = 4.314 Å, b = 4.314 Å, c = 16.224 Å, α = 90.00°, β = 90.00° and γ = 90.00°. The asymmetric unit holds Li at (0.000, 0.000, 0.000), Sb at (0.000, 0.500, 0.250) and Pb at (0.000, 0.000, 0.405).

The uncorrected formation energy is 130.6 meV/atom. The value obtained for the uncorrected energy is -36.852 eV for the cell shown.



V
In order: 22.19, 20.76, 30.19
Unit: A^3/atom
Fermi-level density of states
In order: 3.55, 4.32, 2.77
Unit: states/eV/f.u.